(1)
The following is a PBEsol calculation of a relaxed V4Zn3P6O24 crystal, from Alexandria.

Structure (extended XYZ):
```
37
Lattice="6.342 -0.044 0.057 -1.567 7.711 0.019 -2.870 -3.102 8.271" Properties=species:S:1:pos:R:3 pbc="T T T"
O 0.248 -0.357 6.381
O 4.114 -0.533 2.566
O 3.496 5.979 0.563
O -3.169 3.295 7.570
O 1.656 4.923 1.966
O -0.200 0.746 3.833
O 2.376 0.940 7.014
O -0.322 4.233 4.218
O 5.073 1.271 0.776
O -2.329 2.172 5.423
O 1.042 -0.494 2.004
O 4.234 2.393 2.924
O 4.005 5.147 2.896
O -2.209 5.099 5.780
O 0.863 5.059 6.342
O -1.591 -1.414 7.784
O 1.477 1.941 2.339
O 2.226 0.332 4.129
O 2.105 3.819 4.514
O -0.471 3.625 1.332
O 3.467 3.227 0.726
O 0.427 2.625 6.008
O -1.562 1.338 7.620
O -2.101 -0.582 5.450
V 4.251 0.701 4.024
V 0.441 1.370 7.428
V 1.464 3.195 0.918
V -2.347 3.865 4.322
Zn -0.272 5.326 2.468
Zn 2.177 -0.761 5.879
Zn 0.000 0.000 0.000
P 1.116 0.642 3.061
P -2.794 2.006 6.916
P 0.788 3.924 5.285
P 2.925 5.833 2.006
P 4.698 2.560 1.430
P -1.020 -1.268 6.340
```

Calculated values
For the total DFT energy (no corrections), the calculation gives -7.648 eV per atom. Its space group is P-1 (2).



(2)
The following is a PBEsol calculation of a relaxed P3W2O13 crystal, from Alexandria.

Structure (extended XYZ):
```
72
Lattice="-3.026 3.977 -3.916 1.027 -8.480 -4.795 -16.730 -5.931 6.905" Properties=species:S:1:pos:R:3 pbc="T T T"
O -8.624 -4.604 1.014
O -11.421 -3.538 3.552
O -1.347 -3.756 -1.142
O -0.989 -1.567 -2.864
O -16.207 -2.709 2.944
O -12.612 -2.043 2.020
O -3.826 1.010 -2.693
O -15.966 -8.968 -1.041
O -7.819 -3.525 -1.054
O -10.666 -9.614 -0.646
O -9.744 -6.692 1.756
O -2.029 0.260 -4.291
O -2.763 -1.466 -0.766
O -7.041 -2.655 1.217
O -16.535 -6.575 1.976
O -4.077 -3.643 -1.808
O -14.327 -5.176 5.311
O -4.730 -1.369 0.785
O -4.171 -8.187 -1.923
O -6.229 -4.895 0.285
O -16.743 -5.168 4.018
O -6.822 -2.091 -3.258
O -11.907 -8.343 1.451
O -2.522 -7.724 -4.751
O -14.371 -4.705 2.621
O -6.117 -8.391 -3.827
O -16.700 -10.694 2.484
O -4.402 -5.258 -7.118
O -11.688 -7.779 -3.024
O -15.094 -8.984 1.561
O -6.060 0.685 -1.249
O -10.308 -2.346 -1.601
O -10.910 -6.909 -0.753
O -13.998 -9.065 -2.592
O -12.500 -5.539 -2.092
O -12.126 -1.006 -0.470
O -10.104 -5.830 -2.821
O -4.358 -5.728 -4.428
O -12.669 -11.119 -0.558
O -1.985 -5.266 -5.825
O -17.382 -6.678 -0.665
O -8.985 -3.742 -3.563
O -8.063 -0.820 -1.161
O -14.652 -6.791 0.001
O -6.603 -9.428 -1.337
O -3.635 -1.450 -3.368
O -14.903 -11.444 0.886
O -7.308 -6.896 -5.359
O -8.421 -8.088 -0.206
O -2.194 -3.859 -3.783
O -17.740 -8.867 1.057
O -14.558 -2.247 0.116
P -17.398 -6.289 3.203
P -7.357 -3.855 0.366
P -3.540 0.024 -3.792
P -10.078 -4.721 -3.982
P -1.330 -4.145 -5.010
P -15.348 -9.715 -2.224
P -3.381 -0.719 0.417
P -11.346 -10.822 -1.293
P -15.189 -10.458 1.985
P -7.383 0.388 -0.514
P -8.651 -5.713 2.175
P -11.372 -6.579 -2.173
W -13.670 -0.957 0.775
W -16.048 -7.667 0.409
W -2.681 -2.767 -2.216
W -15.139 -4.003 3.964
W -8.319 -2.240 -2.472
W -10.409 -8.194 0.665
W -3.590 -6.431 -5.771
W -5.059 -9.477 -2.582
```

Calculated values
For the total DFT energy (no corrections), the calculation gives -8.392 eV per atom. Its space group is P2_1/c (14).



(3)
The following is a PBEsol calculation of a relaxed P2W2O9 crystal, from Alexandria.

Structure (extended XYZ):
```
52
Lattice="-0.330 4.857 -4.190 -5.441 3.471 4.452 10.280 6.897 7.186" Properties=species:S:1:pos:R:3 pbc="T T T"
W -0.165 2.429 -2.095
W 2.254 7.613 3.724
W 2.419 5.184 5.819
W 5.396 9.506 8.132
W 5.362 8.461 2.001
W 0.000 0.000 0.000
W -0.887 5.720 -0.684
W -0.853 6.764 5.447
P -1.388 2.860 0.963
P 7.534 9.545 3.087
P 5.897 12.366 6.485
P 0.715 7.168 0.868
P -0.375 9.640 3.819
P 3.794 8.057 6.580
P 4.884 5.586 3.629
P -3.026 5.680 4.361
O 7.376 9.728 8.234
O 3.460 9.043 7.749
O 5.433 13.344 7.655
O 8.193 10.873 2.659
O -0.484 4.473 -2.161
O 1.346 6.706 2.198
O -2.868 5.497 -0.786
O 5.233 12.855 5.211
O -0.924 1.882 -0.207
O 1.218 8.595 0.568
O -0.976 8.302 4.208
O 5.485 6.924 3.239
O -1.103 10.169 2.597
O -0.851 4.238 0.625
O 1.048 6.183 -0.301
O 1.973 11.997 6.367
O -1.511 5.487 4.018
O 4.878 4.594 2.480
O -3.812 6.242 3.159
O 5.348 8.161 6.578
O 1.130 9.361 3.377
O 5.360 10.987 6.822
O 3.378 5.865 4.071
O -0.724 2.371 2.236
O 2.535 3.228 1.081
O 1.062 6.533 5.027
O 5.612 5.056 4.850
O 3.162 8.520 5.250
O 3.447 8.693 2.421
O -0.369 10.631 4.968
O -0.839 7.064 0.870
O 6.020 9.739 3.430
O -3.684 4.352 4.789
O 8.321 8.984 4.289
O 4.993 10.752 9.609
O 3.290 6.630 6.880
```

Calculated values
For the total DFT energy (no corrections), the calculation gives -8.504 eV per atom. Its space group is Pnma (62).



Number 1: formation energy from raw total energies -2134.0 meV per atom, total moment 0.22 μB/atom. Number 2: formation energy from raw total energies -2101.9 meV per atom, total moment 0.06 μB/atom. Number 3: formation energy from raw total energies -1855.1 meV per atom, total moment 0.26 μB/atom.